{"formula": "KNbWO7", "functional": "PBE with a Hubbard U", "state": "relaxed", "lattice": [[3.2045, 6.6656, 1.1827], [-6.6272, 2.6261, 2.2980], [2.8799, -6.0921, 3.2695]], "species": ["K", "K", "Nb", "Nb", "W", "W", "O", "O", "O", "O", "O", "O", "O", "O", "O", "O", "O", "O", "O", "O"], "fractional_positions": [[0.5000, 0.5000, 0.5000], [0.5000, 0.0000, 0.0000], [0.0000, 0.0000, 0.0000], [0.5000, 0.0000, 0.5000], [0.0000, 0.0000, 0.5000], [0.0000, 0.5000, 0.0000], [0.2783, 0.5283, 0.7500], [0.7217, 0.4717, 0.2500], [0.3131, 0.0631, 0.2500], [0.9383, 0.6883, 0.2500], [0.3008, 0.6872, 0.2475], [0.9397, 0.0533, 0.2525], [0.3008, 0.0533, 0.6136], [0.9397, 0.6872, 0.8864], [0.6869, 0.9369, 0.7500], [0.0617, 0.3117, 0.7500], [0.6992, 0.3128, 0.7525], [0.0603, 0.9467, 0.7475], [0.6992, 0.9467, 0.3864], [0.0603, 0.3128, 0.1136]], "total_magnetization_mub_per_cell": 4.0, "total_energy_ev_per_atom": -7.08}